Record 1
{
  "formula": "LiPH",
  "functional": "PBE",
  "state": "relaxed",
  "total_magnetization_mub_per_atom": 0.0000,
  "vol_a3_per_atom": 14.19,
  "polymorph_energy_mev_per_atom": 31,
  "lattice": [[4.2066, 0.0000, 0.0000], [-1.6051, 4.0909, 0.0000], [-0.1329, -1.9801, 4.9492]],
  "species": ["Li", "Li", "P", "P", "H", "H"],
  "frac_coords": [[0.0000, 0.0000, 0.0000], [0.2259, 0.5104, 0.4503], [0.6668, 0.4164, 0.1346], [0.8800, 0.9200, 0.4885], [0.5738, 0.9906, 0.5508], [0.6318, 0.5333, 0.9147]]
}


Record 2
{
  "formula": "LiP3H12",
  "functional": "PBE",
  "state": "relaxed",
  "e_tot_ev_per_cell": -111.3,
  "total_magnetization_mub_per_atom": 0.0000,
  "vol_a3_per_atom": 9.33,
  "lattice": [[3.7347, 2.1562, 6.1801], [-3.7347, 2.1562, 6.1801], [0.0000, -4.3125, 6.1801]],
  "species": ["Li", "Li", "P", "P", "P", "P", "P", "P", "H", "H", "H", "H", "H", "H", "H", "H", "H", "H", "H", "H", "H", "H", "H", "H", "H", "H", "H", "H", "H", "H", "H", "H"],
  "frac_coords": [[0.0000, 0.0000, 0.0000], [0.5000, 0.5000, 0.5000], [0.0730, 0.7925, 0.3643], [0.2925, 0.5730, 0.8643], [0.3643, 0.0730, 0.7925], [0.5730, 0.8643, 0.2925], [0.7925, 0.3643, 0.0730], [0.8643, 0.2925, 0.5730], [0.0531, 0.2804, 0.8844], [0.0736, 0.7435, 0.9260], [0.0865, 0.2490, 0.4235], [0.2009, 0.4974, 0.8003], [0.2435, 0.5736, 0.4260], [0.2490, 0.4235, 0.0865], [0.2804, 0.8844, 0.0531], [0.3003, 0.9974, 0.7009], [0.3844, 0.7804, 0.5531], [0.4235, 0.0865, 0.2490], [0.4260, 0.2435, 0.5736], [0.4974, 0.8003, 0.2009], [0.5531, 0.3844, 0.7804], [0.5736, 0.4260, 0.2435], [0.5865, 0.9235, 0.7490], [0.7009, 0.3003, 0.9974], [0.7435, 0.9260, 0.0736], [0.7490, 0.5865, 0.9235], [0.7804, 0.5531, 0.3844], [0.8003, 0.2009, 0.4974], [0.8844, 0.0531, 0.2804], [0.9235, 0.7490, 0.5865], [0.9260, 0.0736, 0.7435], [0.9974, 0.7009, 0.3003]]
}


Record 3
{
  "formula": "LiPHPd2",
  "functional": "PBE",
  "state": "relaxed",
  "e_tot_ev_per_cell": -22.7,
  "total_magnetization_mub_per_atom": 0.0000,
  "vol_a3_per_atom": 11.44,
  "lattice": [[3.9876, 0.0000, 0.0000], [0.0000, 3.9876, 0.0000], [0.0000, 0.0000, 3.5957]],
  "species": ["Li", "P", "H", "Pd", "Pd"],
  "frac_coords": [[0.0000, 0.0000, 0.0000], [0.5000, 0.5000, 0.0000], [0.0000, 0.0000, 0.5000], [0.0000, 0.5000, 0.5000], [0.5000, 0.0000, 0.5000]]
}